This record from the Alexandria database describes crystalline PrNpSb2Rh5 at its relaxed geometry. The functional is PBE.

The structure belongs to space group P4/mmm (No. 123); the cell edges are 4.033, 4.033 and 12.202 Å and the angles 90.00°, 90.00° and 90.00°. The asymmetric unit holds Pr at (0.000, 0.000, 0.000), Np at (0.500, 0.500, 0.500), Sb at (0.500, 0.500, 0.211), Rh at (0.000, 0.500, 0.356) and Rh at (0.500, 0.500, 0.000).

The calculation puts the uncorrected formation energy at -297 meV per atom. The electronic total energy is -7.27 eV per atom. The size of the total moment comes out at 1.9 μB/cell.

***

This record from the Alexandria database describes crystalline ZrTcPb2 at its relaxed geometry. The functional is PBE.

The structure belongs to space group Cm (No. 8); the cell edges are 10.815, 3.401 and 5.312 Å and the angles 90.00°, 111.95° and 90.00°. The asymmetric unit holds Zr at (0.000, 0.000, 0.000), Tc at (0.310, 0.000, 0.722), Pb at (0.056, 0.500, 0.555) and Pb at (0.273, 0.500, 0.208).

The electronic total energy is -6.34 eV per atom. The size of the total moment comes out at 0.0 μB/cell. For the formation enthalpy at 0 K, the calculation gives 0.239 eV/atom.

***

Computed values of D(E_F) (unit: states/eV per cell) for the preceding records, in sequence: 8.71 4.67.